ZnAgCl2: optimized geometry, PBE-GGA.

Cell lengths 7.303, 7.303, 7.303 Å; angles 150.13, 150.13, 42.75 degrees
Atoms (fractional coordinates):
1 Zn 0.500 0.500 0.000
2 Cl 0.000 0.000 0.000
3 Ag 0.750 0.250 0.500
4 Cl 0.250 0.750 0.500

Results
symmetry: I-4m2, No. 119
electronic total energy: -8.971 eV/cell
total magnetic moment: 0.0 μB/f.u.